This record from Alexandria describes a relaxed Na2InP2Pd5 crystal. The functional is PBE-GGA.

```
data_Na2InP2Pd5
_cell_length_a 10.261
_cell_length_b 10.261
_cell_length_c 3.288
_cell_angle_alpha 90.00
_cell_angle_beta 90.00
_cell_angle_gamma 90.00
_symmetry_space_group_name_H-M 'P 4/m b m'
_symmetry_Int_Tables_number 127
_symmetry_space_group_name_Hall '-P 4 2ab'
loop_
_atom_site_label
_atom_site_type_symbol
_atom_site_fract_x
_atom_site_fract_y
_atom_site_fract_z
Na1 Na 0.175 0.325 0.000
In1 In 0.000 0.000 0.000
P1 P 0.125 0.625 0.000
Pd1 Pd 0.000 0.500 0.500
Pd2 Pd 0.067 0.785 0.500
```

Properties
- Spin magnetization: 0.000 Bohr magnetons per cell
- VASP energy: -4.69 eV per atom